# PBE-GGA YBi2Os, relaxed
# DFT total energy ... -97.80 eV/cell
data_YBi2Os
_cell_length_a 7.282
_cell_length_b 7.282
_cell_length_c 7.282
_cell_angle_alpha 90.00
_cell_angle_beta 90.00
_cell_angle_gamma 90.00
_symmetry_space_group_name_H-M 'F -4 3 m'
_symmetry_Int_Tables_number 216
_symmetry_space_group_name_Hall 'F -4 2 3'
loop_
_atom_site_label
_atom_site_fract_x
_atom_site_fract_y
_atom_site_fract_z
_atom_site_occupancy
Y1 0.000 0.000 0.000 1
Bi1 0.000 0.000 0.500 1
Bi2 0.250 0.250 0.250 1
Os1 0.250 0.250 0.750 1

=====

# PBE-GGA LuTc2Ge2, relaxed
# Energy above the most stable polymorph in this dataset ... 0.00 kJ per mole of atoms
# DFT total energy ... -72.56 eV/cell
data_LuTc2Ge2
_cell_length_a 4.137
_cell_length_b 4.137
_cell_length_c 10.473
_cell_angle_alpha 90.00
_cell_angle_beta 90.00
_cell_angle_gamma 90.00
_symmetry_space_group_name_H-M 'I 4/m m m'
_symmetry_Int_Tables_number 139
_symmetry_space_group_name_Hall '-I 4 2'
loop_
_atom_site_label
_atom_site_fract_x
_atom_site_fract_y
_atom_site_fract_z
_atom_site_occupancy
Lu1 0.000 0.000 0.000 1
Tc1 0.000 0.500 0.250 1
Ge1 0.000 0.000 0.381 1

=====

# PBE-GGA NbB4Au, relaxed
# Energy above the most stable polymorph in this dataset ... 7.40 kJ per mole of atoms
# DFT total energy ... -79.25 eV/cell
data_NbB4Au
_cell_length_a 3.106
_cell_length_b 5.020
_cell_length_c 7.758
_cell_angle_alpha 90.00
_cell_angle_beta 90.00
_cell_angle_gamma 90.00
_symmetry_space_group_name_H-M 'I m m m'
_symmetry_Int_Tables_number 71
_symmetry_space_group_name_Hall '-I 2 2'
loop_
_atom_site_label
_atom_site_fract_x
_atom_site_fract_y
_atom_site_fract_z
_atom_site_occupancy
Nb1 0.000 0.000 0.000 1
B1 0.000 0.315 0.275 1
Au1 0.000 0.000 0.500 1

=====

# PBE-GGA Nb4NiSbC2, relaxed
# DFT total energy ... -70.85 eV/cell
data_Nb4NiSbC2
_cell_length_a 3.2414
_cell_length_b 3.2414
_cell_length_c 13.0636
_cell_angle_alpha 90.00
_cell_angle_beta 90.00
_cell_angle_gamma 120.00
_symmetry_space_group_name_H-M 'P -6 m 2'
_symmetry_Int_Tables_number 187
_symmetry_space_group_name_Hall 'P -6 2'
loop_
_atom_site_label
_atom_site_fract_x
_atom_site_fract_y
_atom_site_fract_z
_atom_site_occupancy
Nb1 0.0000 0.0000 0.1473 1
Nb2 0.3333 0.6667 0.3296 1
Ni1 0.3333 0.6667 0.0000 1
Sb1 0.0000 0.0000 0.5000 1
C1 0.6667 0.3333 0.2377 1

=====

# PBE-GGA MgZr3Al2PdPt2, relaxed
# DFT total energy ... -119.43 eV/cell
data_MgZr3Al2PdPt2
_cell_length_a 3.588
_cell_length_b 12.616
_cell_length_c 7.294
_cell_angle_alpha 90.00
_cell_angle_beta 90.00
_cell_angle_gamma 90.00
_symmetry_space_group_name_H-M 'A m m 2'
_symmetry_Int_Tables_number 38
loop_
_symmetry_equiv_pos_as_xyz
'x,y,z'
'-x,-y,z'
'-x,y,z'
'x,-y,z'
'x,y+1/2,z+1/2'
'-x,-y+1/2,z+1/2'
'-x,y+1/2,z+1/2'
'x,-y+1/2,z+1/2'
loop_
_atom_site_label
_atom_site_fract_x
_atom_site_fract_y
_atom_site_fract_z
_atom_site_occupancy
Mg1 0.000 0.000 0.000 1
Zr1 0.500 0.000 0.342 1
Zr2 0.500 0.205 0.950 1
Al1 0.000 0.130 0.619 1
Pd1 0.500 0.000 0.732 1
Pt1 0.000 0.168 0.249 1

=====

# PBE-GGA Y2HfCu, relaxed
# Formation energy ... 357 meV/atom
# DFT total energy ... -100.70 eV/cell
data_Y2HfCu
_cell_length_a 7.192
_cell_length_b 7.192
_cell_length_c 7.192
_cell_angle_alpha 90.00
_cell_angle_beta 90.00
_cell_angle_gamma 90.00
_symmetry_space_group_name_H-M 'F -4 3 m'
_symmetry_Int_Tables_number 216
_symmetry_space_group_name_Hall 'F -4 2 3'
loop_
_atom_site_label
_atom_site_fract_x
_atom_site_fract_y
_atom_site_fract_z
_atom_site_occupancy
Y1 0.000 0.000 0.000 1
Y2 0.250 0.250 0.250 1
Hf1 0.000 0.000 0.500 1
Cu1 0.250 0.250 0.750 1

=====

# PBE-GGA LaDy2S3, relaxed
# DFT total energy ... -38.85 eV/cell
data_LaDy2S3
_cell_length_a 3.9575
_cell_length_b 3.9575
_cell_length_c 9.8775
_cell_angle_alpha 90.00
_cell_angle_beta 90.00
_cell_angle_gamma 120.00
_symmetry_space_group_name_H-M 'P -3 m 1'
_symmetry_Int_Tables_number 164
_symmetry_space_group_name_Hall '-P 3 2"'
loop_
_atom_site_label
_atom_site_fract_x
_atom_site_fract_y
_atom_site_fract_z
_atom_site_occupancy
La1 0.0000 0.0000 0.0000 1
Dy1 0.3333 0.6667 0.6619 1
S1 0.0000 0.0000 0.5000 1
S2 0.3333 0.6667 0.1844 1

=====

# PBE-GGA LiErB, relaxed
# Energy above the most stable polymorph in this dataset ... 56.59 kJ per mole of atoms
# DFT total energy ... -43.54 eV/cell
data_LiErB
_cell_length_a 5.961
_cell_length_b 5.961
_cell_length_c 5.961
_cell_angle_alpha 90.00
_cell_angle_beta 90.00
_cell_angle_gamma 90.00
_symmetry_space_group_name_H-M 'F -4 3 m'
_symmetry_Int_Tables_number 216
_symmetry_space_group_name_Hall 'F -4 2 3'
loop_
_atom_site_label
_atom_site_fract_x
_atom_site_fract_y
_atom_site_fract_z
_atom_site_occupancy
Li1 0.000 0.000 0.000 1
Er1 0.250 0.250 0.750 1
B1 0.000 0.000 0.500 1

=====

Which value of DFT total energy does entry 8 give? -43.54 eV/cell

=====

Repeat the fifth record exactly.
# PBE-GGA MgZr3Al2PdPt2, relaxed
# DFT total energy ... -119.43 eV/cell
data_MgZr3Al2PdPt2
_cell_length_a 3.588
_cell_length_b 12.616
_cell_length_c 7.294
_cell_angle_alpha 90.00
_cell_angle_beta 90.00
_cell_angle_gamma 90.00
_symmetry_space_group_name_H-M 'A m m 2'
_symmetry_Int_Tables_number 38
loop_
_symmetry_equiv_pos_as_xyz
'x,y,z'
'-x,-y,z'
'-x,y,z'
'x,-y,z'
'x,y+1/2,z+1/2'
'-x,-y+1/2,z+1/2'
'-x,y+1/2,z+1/2'
'x,-y+1/2,z+1/2'
loop_
_atom_site_label
_atom_site_fract_x
_atom_site_fract_y
_atom_site_fract_z
_atom_site_occupancy
Mg1 0.000 0.000 0.000 1
Zr1 0.500 0.000 0.342 1
Zr2 0.500 0.205 0.950 1
Al1 0.000 0.130 0.619 1
Pd1 0.500 0.000 0.732 1
Pt1 0.000 0.168 0.249 1